No. 1
SrPdCl4 | PBE | optimized geometry

Cell: 6.9051 6.9051 8.4813 Å, 81.91 81.91 61.13°
Positions (direct):
Cl 0.7499 0.2341 0.4784
Sr 0.0000 0.5000 0.0000
Cl 0.6482 0.9547 0.8141
Cl 0.9547 0.6482 0.3140
Pd 0.8057 0.1943 0.7500
Cl 0.3518 0.0453 0.1860
Cl 0.2341 0.7499 0.9784
Cl 0.7659 0.2501 0.0216
Pd 0.1943 0.8057 0.2500
Cl 0.0453 0.3518 0.6859
Cl 0.2501 0.7659 0.5216
Sr 0.5000 0.0000 0.5000

## Properties
- formation energy (no corrections) (eV/f.u.) = -8.17
- energy relative to the lowest polymorph listed for this composition (eV/f.u.) = 0.00
- calculated volume (Å³/atom) = 29.1


No. 2
SrPdCl5 | PBE | optimized geometry

Cell: 6.9684 6.9684 10.1755 Å, 68.14 68.14 67.78°
Positions (direct):
Cl 0.0464 0.9536 0.7500
Cl 0.7561 0.7922 0.6188
Cl 0.7159 0.3164 0.5172
Cl 0.3164 0.7159 0.0172
Cl 0.2439 0.2078 0.3812
Cl 0.2078 0.2439 0.8812
Cl 0.9536 0.0464 0.2500
Sr 0.5710 0.4290 0.2500
Cl 0.7922 0.7561 0.1188
Pd 0.0000 0.0000 0.5000
Pd 0.0000 0.0000 0.0000
Sr 0.4290 0.5710 0.7500
Cl 0.2841 0.6836 0.4828
Cl 0.6836 0.2841 0.9828

## Properties
- formation energy (no corrections) (eV/f.u.) = -8.58
- energy relative to the lowest polymorph listed for this composition (eV/f.u.) = 0.19
- calculated volume (Å³/atom) = 29.2


No. 3
SrPd2Cl6 | PBE | optimized geometry

Cell: 7.6367 8.5459 8.5459 Å, 79.07 74.63 74.63°
Positions (direct):
Cl 0.0418 0.0184 0.1870
Cl 0.4582 0.8130 0.9816
Cl 0.3567 0.4768 0.7200
Sr 0.7500 0.8454 0.1546
Pd 0.8459 0.2703 0.2519
Cl 0.5418 0.1870 0.0184
Cl 0.9582 0.9816 0.8130
Cl 0.1433 0.2800 0.5232
Cl 0.6433 0.5232 0.2800
Cl 0.3975 0.8594 0.6142
Cl 0.1025 0.3858 0.1406
Cl 0.8975 0.6142 0.8594
Cl 0.6025 0.1406 0.3858
Sr 0.2500 0.1546 0.8454
Pd 0.1541 0.7297 0.7481
Cl 0.8567 0.7200 0.4768
Pd 0.3459 0.2519 0.2703
Pd 0.6541 0.7481 0.7297

## Properties
- formation energy (no corrections) (eV/f.u.) = -9.55
- calculated volume (Å³/atom) = 28.6


No. 4
Sr2PdCl6 | PBE | optimized geometry

Cell: 6.6327 9.4094 7.5857 Å, 90.00 90.00 90.55°
Site moments in Bohr magnetons follow the coordinates.
Positions (direct):
Pd 0.5000 0.0000 0.5000  1.16
Cl 0.6581 0.9436 0.1978  0.10
Cl 0.1581 0.4436 0.3022  0.10
Sr 0.0355 0.2534 0.6122  0.00
Cl 0.3794 0.7464 0.5287  0.11
Cl 0.6792 0.5594 0.1669  0.11
Cl 0.6206 0.2536 0.4713  0.11
Cl 0.1206 0.7536 0.0287  0.11
Cl 0.8794 0.2464 0.9713  0.11
Cl 0.3419 0.0564 0.8022  0.10
Cl 0.8208 0.9406 0.6669  0.11
Cl 0.1792 0.0594 0.3331  0.11
Sr 0.9645 0.7466 0.3878  0.00
Cl 0.3208 0.4406 0.8331  0.11
Sr 0.4645 0.2466 0.1122  0.00
Cl 0.8419 0.5564 0.6978  0.10
Pd 0.0000 0.5000 0.0000  1.16
Sr 0.5355 0.7534 0.8878  0.00

## Properties
- formation energy (no corrections) (eV/f.u.) = -15.70
- calculated volume (Å³/atom) = 26.3